Arrangement A

TaCoTc2: relaxed, GGA-PBE.

a = 2.7554 Å, b = 2.7554 Å, c = 7.6200 Å
α = 90.00°, β = 90.00°, γ = 90.00°
Last column: nearest neighbours and their distance in Å.
Sites, in units of the cell vectors:
Ta 0.0000 0.0000 0.0000  4 Co 2.72, 4 Ta 2.76, 4 Tc 2.91
Co 0.5000 0.5000 0.7508  4 Tc 2.58, 4 Ta 2.72, 4 Co 2.76
Tc 0.0000 0.0000 0.5289  4 Co 2.58, 8 Tc 2.70-2.76
Tc 0.5000 0.5000 0.2842  8 Tc 2.70-2.76, 4 Ta 2.91

=====

Arrangement B

TaCoTc2: relaxed, GGA-PBE.

a = 3.1830 Å, b = 4.3011 Å, c = 8.5518 Å
α = 90.00°, β = 90.00°, γ = 90.00°
Last column: nearest neighbours and their distance in Å.
Sites, in units of the cell vectors:
Ta 0.0000 0.0000 0.0000  2 Co 2.64, 6 Tc 2.64-2.68
Ta 0.5000 0.5000 0.5000  2 Co 2.64, 6 Tc 2.64-2.68
Co 0.0000 0.5000 0.2544  2 Ta 2.64, 6 Tc 2.68-2.74
Co 0.5000 0.0000 0.7544  2 Ta 2.64, 6 Tc 2.68-2.74
Tc 0.0000 0.0000 0.4936  2 Tc 2.65, 4 Ta 2.68, 2 Co 2.74
Tc 0.0000 0.5000 0.7459  2 Ta 2.64, 2 Tc 2.65, 4 Co 2.68
Tc 0.5000 0.0000 0.2459  2 Ta 2.64, 2 Tc 2.65, 4 Co 2.68
Tc 0.5000 0.5000 0.9936  2 Tc 2.65, 4 Ta 2.68, 2 Co 2.74

=====

Tell me which of them is the least stable. Sure, it is arrangement A.

=====

Arrangement A

TaCoTc2: relaxed, GGA-PBE.

a = 5.4355 Å, b = 7.7085 Å, c = 2.7880 Å
α = 90.00°, β = 90.00°, γ = 90.00°
Last column: nearest neighbours and their distance in Å.
Sites, in units of the cell vectors:
Ta 0.0000 0.0000 0.0000  2 Co 2.72, 8 Tc 2.74, 2 Ta 2.79
Ta 0.5000 0.5000 0.0000  2 Co 2.72, 8 Tc 2.74, 2 Ta 2.79
Co 0.0000 0.5000 0.0000  2 Ta 2.72, 8 Tc 2.74, 2 Co 2.79
Co 0.5000 0.0000 0.0000  2 Ta 2.72, 8 Tc 2.74, 2 Co 2.79
Tc 0.2500 0.2500 0.5000  4 Tc 2.72-2.79, 4 Co 2.74, 4 Ta 2.74
Tc 0.2500 0.7500 0.5000  4 Tc 2.72-2.79, 4 Co 2.74, 4 Ta 2.74
Tc 0.7500 0.2500 0.5000  4 Tc 2.72-2.79, 4 Co 2.74, 4 Ta 2.74
Tc 0.7500 0.7500 0.5000  4 Tc 2.72-2.79, 4 Co 2.74, 4 Ta 2.74

=====

Arrangement B

TaCoTc2: relaxed, GGA-PBE.

a = 2.6988 Å, b = 2.6988 Å, c = 7.9471 Å
α = 90.00°, β = 90.00°, γ = 90.00°
Last column: nearest neighbours and their distance in Å.
Sites, in units of the cell vectors:
Ta 0.0000 0.0000 0.0000  4 Ta 2.70, 8 Tc 2.95
Co 0.0000 0.0000 0.5000  8 Tc 2.57, 4 Co 2.70
Tc 0.5000 0.5000 0.2825  4 Co 2.57, 4 Tc 2.70
Tc 0.5000 0.5000 0.7175  4 Co 2.57, 4 Tc 2.70

=====

Arrangement C

TaCoTc2: relaxed, GGA-PBE.

a = 3.5668 Å, b = 3.5668 Å, c = 19.4623 Å
α = 90.00°, β = 90.00°, γ = 90.00°
Last column: nearest neighbours and their distance in Å.
Sites, in units of the cell vectors:
Ta 0.0000 0.0000 0.0000  4 Co 2.52, 4 Tc 2.75
Ta 0.0000 0.5000 0.2500  4 Co 2.52, 4 Tc 2.75
Ta 0.5000 0.0000 0.7500  4 Co 2.52, 4 Tc 2.75
Ta 0.5000 0.5000 0.5000  4 Co 2.52, 4 Tc 2.75
Co 0.0000 0.0000 0.5000  4 Ta 2.52, 4 Tc 2.73
Co 0.0000 0.5000 0.7500  4 Ta 2.52, 4 Tc 2.73
Co 0.5000 0.0000 0.2500  4 Ta 2.52, 4 Tc 2.73
Co 0.5000 0.5000 0.0000  4 Ta 2.52, 4 Tc 2.73
Tc 0.2388 0.2500 0.6250  4 Tc 2.47-2.58, 2 Co 2.73, 2 Ta 2.75
Tc 0.2500 0.7388 0.8750  4 Tc 2.47-2.58, 2 Co 2.73, 2 Ta 2.75
Tc 0.2500 0.7612 0.3750  4 Tc 2.47-2.58, 2 Co 2.73, 2 Ta 2.75
Tc 0.2612 0.2500 0.1250  4 Tc 2.47-2.58, 2 Co 2.73, 2 Ta 2.75
Tc 0.7388 0.7500 0.1250  4 Tc 2.47-2.58, 2 Co 2.73, 2 Ta 2.75
Tc 0.7500 0.2388 0.3750  4 Tc 2.47-2.58, 2 Co 2.73, 2 Ta 2.75
Tc 0.7500 0.2612 0.8750  4 Tc 2.47-2.58, 2 Co 2.73, 2 Ta 2.75
Tc 0.7612 0.7500 0.6250  4 Tc 2.47-2.58, 2 Co 2.73, 2 Ta 2.75

=====

Tell me which of them is the least stable. Sure, it is arrangement C.

=====

Arrangement A

TaCoTc2: relaxed, GGA-PBE.

a = 3.3678 Å, b = 4.2139 Å, c = 8.1865 Å
α = 90.00°, β = 90.00°, γ = 90.00°
Last column: nearest neighbours and their distance in Å.
Sites, in units of the cell vectors:
Ta 0.0000 0.0000 0.0000  4 Ta 2.70, 4 Tc 2.81
Ta 0.5000 0.5000 0.0000  4 Ta 2.70, 4 Tc 2.81
Co 0.0000 0.0000 0.5000  4 Tc 2.49, 4 Co 2.70
Co 0.5000 0.5000 0.5000  4 Tc 2.49, 4 Co 2.70
Tc 0.0000 0.5000 0.2755  2 Co 2.49, 4 Tc 2.70
Tc 0.0000 0.5000 0.7245  2 Co 2.49, 4 Tc 2.70
Tc 0.5000 0.0000 0.2755  2 Co 2.49, 4 Tc 2.70
Tc 0.5000 0.0000 0.7245  2 Co 2.49, 4 Tc 2.70

=====

Arrangement B

TaCoTc2: relaxed, GGA-PBE.

a = 3.1472 Å, b = 4.3257 Å, c = 8.6879 Å
α = 90.00°, β = 90.00°, γ = 90.00°
Last column: nearest neighbours and their distance in Å.
Sites, in units of the cell vectors:
Ta 0.0000 0.0000 0.0000  4 Tc 2.65, 4 Co 2.67
Ta 0.5000 0.5000 0.5000  4 Tc 2.65, 4 Co 2.67
Co 0.0000 0.0000 0.5000  4 Ta 2.67, 4 Tc 2.72
Co 0.5000 0.5000 0.0000  4 Ta 2.67, 4 Tc 2.72
Tc 0.0000 0.5000 0.2548  2 Ta 2.65, 4 Tc 2.68, 2 Co 2.72
Tc 0.0000 0.5000 0.7452  2 Ta 2.65, 4 Tc 2.68, 2 Co 2.72
Tc 0.5000 0.0000 0.2452  2 Ta 2.65, 4 Tc 2.68, 2 Co 2.72
Tc 0.5000 0.0000 0.7548  2 Ta 2.65, 4 Tc 2.68, 2 Co 2.72

=====

Tell me which of them is the least stable. Sure, it is arrangement A.

=====

Arrangement A

TaCo2Tc: relaxed, GGA-PBE.

a = 2.7230 Å, b = 2.7230 Å, c = 25.9899 Å
α = 90.00°, β = 90.00°, γ = 120.00°
Last column: nearest neighbours and their distance in Å.
Sites, in units of the cell vectors:
Ta 0.0000 0.0000 0.0000  3 Co 2.72, 6 Ta 2.72, 3 Tc 2.94
Ta 0.3333 0.6667 0.6667  3 Co 2.72, 6 Ta 2.72, 3 Tc 2.94
Ta 0.6667 0.3333 0.3333  3 Co 2.72, 6 Ta 2.72, 3 Tc 2.94
Co 0.0000 0.0000 0.2481  9 Co 2.47-2.72, 3 Ta 2.72
Co 0.0000 0.0000 0.5079  9 Co 2.47-2.72, 3 Tc 2.59
Co 0.3333 0.6667 0.1745  9 Co 2.47-2.72, 3 Tc 2.59
Co 0.3333 0.6667 0.9147  9 Co 2.47-2.72, 3 Ta 2.72
Co 0.6667 0.3333 0.5814  9 Co 2.47-2.72, 3 Ta 2.72
Co 0.6667 0.3333 0.8412  9 Co 2.47-2.72, 3 Tc 2.59
Tc 0.0000 0.0000 0.7622  3 Co 2.59, 6 Tc 2.72
Tc 0.3333 0.6667 0.4289  3 Co 2.59, 6 Tc 2.72
Tc 0.6667 0.3333 0.0956  3 Co 2.59, 6 Tc 2.72

=====

Arrangement B

TaCo2Tc: relaxed, GGA-PBE.

a = 2.7114 Å, b = 4.2595 Å, c = 4.5792 Å
α = 90.00°, β = 90.00°, γ = 90.00°
Last column: nearest neighbours and their distance in Å.
Sites, in units of the cell vectors:
Ta 0.0000 0.0000 0.0000  8 Co 2.61-2.70, 2 Ta 2.71, 2 Tc 2.75
Co 0.5000 0.0000 0.4905  4 Tc 2.59, 4 Ta 2.62-2.70, 4 Co 2.65-2.71
Co 0.5000 0.5000 0.1479  4 Tc 2.55-2.77, 4 Ta 2.61, 4 Co 2.65-2.71
Tc 0.0000 0.5000 0.6203  8 Co 2.55-2.77, 2 Tc 2.71, 2 Ta 2.75

=====

Tell me which of them is the least stable. Sure, it is arrangement A.

=====

Arrangement A

TaCo2Tc: relaxed, GGA-PBE.

a = 5.3226 Å, b = 7.3757 Å, c = 2.6963 Å
α = 90.00°, β = 90.00°, γ = 90.00°
Last column: nearest neighbours and their distance in Å.
Sites, in units of the cell vectors:
Ta 0.0000 0.0000 0.0000  8 Co 2.64, 2 Tc 2.66, 2 Ta 2.70
Ta 0.5000 0.5000 0.0000  8 Co 2.64, 2 Tc 2.66, 2 Ta 2.70
Co 0.2500 0.2500 0.5000  4 Ta 2.64, 4 Tc 2.64, 4 Co 2.66-2.70
Co 0.2500 0.7500 0.5000  4 Ta 2.64, 4 Tc 2.64, 4 Co 2.66-2.70
Co 0.7500 0.2500 0.5000  4 Ta 2.64, 4 Tc 2.64, 4 Co 2.66-2.70
Co 0.7500 0.7500 0.5000  4 Ta 2.64, 4 Tc 2.64, 4 Co 2.66-2.70
Tc 0.0000 0.5000 0.0000  8 Co 2.64, 2 Ta 2.66, 2 Tc 2.70
Tc 0.5000 0.0000 0.0000  8 Co 2.64, 2 Ta 2.66, 2 Tc 2.70

=====

Arrangement B

TaCo2Tc: relaxed, GGA-PBE.

a = 6.0269 Å, b = 6.0269 Å, c = 6.0269 Å
α = 90.00°, β = 90.00°, γ = 90.00°
Last column: nearest neighbours and their distance in Å.
Sites, in units of the cell vectors:
Ta 0.0000 0.0000 0.0000  8 Co 2.61
Ta 0.0000 0.5000 0.5000  8 Co 2.61
Ta 0.5000 0.0000 0.5000  8 Co 2.61
Ta 0.5000 0.5000 0.0000  8 Co 2.61
Co 0.2500 0.2500 0.2500  4 Ta 2.61, 4 Tc 2.61
Co 0.2500 0.2500 0.7500  4 Ta 2.61, 4 Tc 2.61
Co 0.2500 0.7500 0.2500  4 Ta 2.61, 4 Tc 2.61
Co 0.2500 0.7500 0.7500  4 Ta 2.61, 4 Tc 2.61
Co 0.7500 0.2500 0.2500  4 Ta 2.61, 4 Tc 2.61
Co 0.7500 0.2500 0.7500  4 Ta 2.61, 4 Tc 2.61
Co 0.7500 0.7500 0.2500  4 Ta 2.61, 4 Tc 2.61
Co 0.7500 0.7500 0.7500  4 Ta 2.61, 4 Tc 2.61
Tc 0.0000 0.0000 0.5000  8 Co 2.61
Tc 0.0000 0.5000 0.0000  8 Co 2.61
Tc 0.5000 0.0000 0.0000  8 Co 2.61
Tc 0.5000 0.5000 0.5000  8 Co 2.61

=====

Tell me which of them is the least stable. Sure, it is arrangement B.

=====

Arrangement A

TaCo2Tc: relaxed, GGA-PBE.

a = 3.1228 Å, b = 3.1228 Å, c = 5.5449 Å
α = 90.00°, β = 90.00°, γ = 90.00°
Last column: nearest neighbours and their distance in Å.
Sites, in units of the cell vectors:
Ta 0.0000 0.0000 0.0000  5 Co 2.57-2.64, 4 Tc 2.78
Co 0.0000 0.0000 0.5232  4 Tc 2.52, 4 Co 2.58, 1 Ta 2.64
Co 0.5000 0.5000 0.7643  1 Tc 2.55, 4 Ta 2.57, 4 Co 2.58
Tc 0.5000 0.5000 0.3052  5 Co 2.52-2.55, 4 Ta 2.78

=====

Arrangement B

TaCo2Tc: relaxed, GGA-PBE.

a = 2.7029 Å, b = 2.7029 Å, c = 25.7979 Å
α = 90.00°, β = 90.00°, γ = 120.00°
Last column: nearest neighbours and their distance in Å.
Sites, in units of the cell vectors:
Ta 0.0000 0.0000 0.0000  6 Ta 2.70, 6 Co 2.73
Ta 0.3333 0.6667 0.6667  6 Ta 2.70, 6 Co 2.73
Ta 0.6667 0.3333 0.3333  6 Ta 2.70, 6 Co 2.73
Co 0.0000 0.0000 0.2465  3 Tc 2.58, 6 Co 2.70, 3 Ta 2.73
Co 0.0000 0.0000 0.7535  3 Tc 2.58, 6 Co 2.70, 3 Ta 2.73
Co 0.3333 0.6667 0.4201  3 Tc 2.58, 6 Co 2.70, 3 Ta 2.73
Co 0.3333 0.6667 0.9132  3 Tc 2.58, 6 Co 2.70, 3 Ta 2.73
Co 0.6667 0.3333 0.0868  3 Tc 2.58, 6 Co 2.70, 3 Ta 2.73
Co 0.6667 0.3333 0.5799  3 Tc 2.58, 6 Co 2.70, 3 Ta 2.73
Tc 0.0000 0.0000 0.5000  6 Co 2.58, 6 Tc 2.70
Tc 0.3333 0.6667 0.1667  6 Co 2.58, 6 Tc 2.70
Tc 0.6667 0.3333 0.8333  6 Co 2.58, 6 Tc 2.70

=====

Arrangement C

TaCo2Tc: relaxed, GGA-PBE.

a = 3.7780 Å, b = 3.7780 Å, c = 3.7017 Å
α = 90.00°, β = 90.00°, γ = 90.00°
Last column: nearest neighbours and their distance in Å.
Sites, in units of the cell vectors:
Ta 0.0000 0.0000 0.0000  8 Co 2.64, 4 Tc 2.67
Co 0.0000 0.5000 0.5000  4 Ta 2.64, 4 Tc 2.64, 4 Co 2.67
Co 0.5000 0.0000 0.5000  4 Ta 2.64, 4 Tc 2.64, 4 Co 2.67
Tc 0.5000 0.5000 0.0000  8 Co 2.64, 4 Ta 2.67

=====

Tell me which of them is the least stable. Sure, it is arrangement B.